Cr3FeO | the Alexandria database | PBE with a Hubbard U | relaxed; energy = -25.86 eV/cell; density = 3.47 Mg/m³; total magnetization = 11.5 μB/f.u.; space-group type = Pm-3m; distance to the lowest polymorph of the same formula = 1.1141 eV/atom
1.0
4.777 0.000 0.000
0.000 4.777 0.000
0.000 0.000 4.777
Cr Fe O
3 1 1
Cartesian
0.000 0.000 2.389
0.000 2.389 0.000
2.389 0.000 0.000
0.000 0.000 0.000
2.389 2.389 2.389